Entry from Alexandria via LeMat-Bulk: a relaxed Ta3CrPb crystal (GGA-PBE).

a = 4.685 Å, b = 4.685 Å, c = 4.685 Å
α = 90.00°, β = 90.00°, γ = 90.00°
Element x y z (fractional)
1 Ta 0.000 0.000 0.500
2 Ta 0.500 0.000 0.000
3 Ta 0.000 0.500 0.000
4 Pb 0.500 0.500 0.500
5 Cr 0.000 0.000 0.000

Density ... 12.95 g/cm3
Electronic total energy ... -44.41 eV/cell
D(E_F) ... 2.37 states/eV/f.u.
Energy of formation ... 0.90 eV per atom